(1)
## KMnSn2Hg (GGA-PBE)

Data for a relaxed structure of KMnSn2Hg.

Cell: 4.972 4.972 5.405 Å, 90.00 90.00 90.00°
Atoms (fractional coordinates):
K 0.000 0.000 0.000
Mn 0.500 0.500 0.500
Sn 0.000 0.500 0.500
Sn 0.500 0.000 0.500
Hg 0.500 0.500 0.000

Space-group type: No. 123
Total DFT energy (no corrections), eV for the cell shown: -18.47
Energy of formation from the pure elements, eV per formula unit: 0.1

---

(2)
## TiBeW (GGA-PBE)

Data for a relaxed structure of TiBeW.

Cell: 9.151 8.515 4.776 Å, 81.82 67.07 31.10°
Atoms (fractional coordinates):
Ti 0.044 0.044 0.206
Ti 0.206 0.206 0.044
Ti 0.794 0.794 0.956
Ti 0.956 0.956 0.794
Be 0.251 0.251 0.499
Be 0.499 0.499 0.251
Be 0.501 0.501 0.749
Be 0.749 0.749 0.501
W 0.204 0.546 0.204
W 0.454 0.796 0.454
W 0.546 0.204 0.546
W 0.796 0.454 0.796

Space-group type: No. 70
Total DFT energy (no corrections), eV for the cell shown: -99.95
Energy of formation from the pure elements, eV per formula unit: -0.4

---

(3)
## LaSm3 (GGA-PBE)

Data for a relaxed structure of LaSm3.

Cell: 7.422 7.422 5.886 Å, 90.00 90.00 120.00°
Atoms (fractional coordinates):
La 0.333 0.667 0.250
La 0.667 0.333 0.750
Sm 0.166 0.331 0.750
Sm 0.166 0.834 0.750
Sm 0.331 0.166 0.250
Sm 0.669 0.834 0.750
Sm 0.834 0.166 0.250
Sm 0.834 0.669 0.250

Space-group type: No. 194
Total DFT energy (no corrections), eV for the cell shown: -37.92
Energy of formation from the pure elements, eV per formula unit: 0.1

---

(4)
## Nb2AgHPd (GGA-PBE)

Data for a relaxed structure of Nb2AgHPd.

Cell: 4.063 4.063 4.298 Å, 90.00 90.00 90.00°
Atoms (fractional coordinates):
Nb 0.000 0.500 0.000
Nb 0.500 0.000 0.000
Ag 0.000 0.000 0.500
H 0.000 0.000 0.000
Pd 0.500 0.500 0.500

Space-group type: No. 123
Total DFT energy (no corrections), eV for the cell shown: -31.67
Polymorph energy (0 for the lowest one), meV/atom: 14

---

(5)
## BaCeMoN4 (GGA-PBE)

Data for a relaxed structure of BaCeMoN4.

Cell: 6.121 6.005 7.480 Å, 90.00 107.15 90.00°
Atoms (fractional coordinates):
Ba 0.214 0.250 0.428
Ba 0.786 0.750 0.572
Ce 0.296 0.250 0.954
Ce 0.704 0.750 0.046
Mo 0.242 0.750 0.166
Mo 0.758 0.250 0.834
N 0.035 0.750 0.934
N 0.046 0.750 0.316
N 0.448 0.509 0.190
N 0.448 0.991 0.190
N 0.552 0.009 0.810
N 0.552 0.491 0.810
N 0.954 0.250 0.684
N 0.965 0.250 0.066

Space-group type: No. 11
Total DFT energy (no corrections), eV for the cell shown: -116.62
Uncorrected formation energy, eV/atom: -0.903

---

(6)
## ErTmGa (GGA-PBE)

Data for a relaxed structure of ErTmGa.

Cell: 4.733 4.733 7.157 Å, 90.00 90.00 90.00°
Atoms (fractional coordinates):
Er 0.250 0.250 0.229
Er 0.750 0.750 0.771
Tm 0.250 0.250 0.750
Tm 0.750 0.750 0.250
Ga 0.250 0.750 0.500
Ga 0.750 0.250 0.500

Space-group type: No. 129
Total DFT energy (no corrections), eV for the cell shown: -25.24
Polymorph energy (0 for the lowest one), meV/atom: 200
Energy of formation from the pure elements, eV per formula unit: -0.6

---

(7)
## Zn2Pt2Se (GGA-PBE)

Data for a relaxed structure of Zn2Pt2Se.

Cell: 7.672 7.672 2.804 Å, 90.00 90.00 90.00°
Atoms (fractional coordinates):
Zn 0.160 0.340 0.000
Zn 0.340 0.840 0.000
Zn 0.660 0.160 0.000
Zn 0.840 0.660 0.000
Pt 0.135 0.635 0.500
Pt 0.365 0.135 0.500
Pt 0.635 0.865 0.500
Pt 0.865 0.365 0.500
Se 0.000 0.000 0.000
Se 0.500 0.500 0.000

Space-group type: No. 127
Total DFT energy (no corrections), eV for the cell shown: -38.20
Polymorph energy (0 for the lowest one), meV/atom: 98
Uncorrected formation energy, eV/atom: -0.197

---

(8)
## SiHO2 (GGA-PBE)

Data for a relaxed structure of SiHO2.

Cell: 3.335 3.335 3.335 Å, 60.00 60.00 60.00°
Atoms (fractional coordinates):
Si 0.000 0.000 0.000
H 0.500 0.500 0.500
O 0.250 0.250 0.250
O 0.750 0.750 0.750

Space-group type: No. 225
Total DFT energy (no corrections), eV for the cell shown: -19.83
Polymorph energy (0 for the lowest one), meV/atom: 1234

---

(9)
## Ac8Sm5Er (GGA-PBE)

Data for a relaxed structure of Ac8Sm5Er.

Cell: 7.651 8.573 9.383 Å, 111.20 90.67 103.10°
Atoms (fractional coordinates):
Ac 0.000 0.000 0.000
Ac 0.064 0.281 0.439
Ac 0.137 0.565 0.864
Ac 0.421 0.723 0.578
Ac 0.559 0.277 0.433
Ac 0.634 0.563 0.858
Ac 0.705 0.852 0.289
Ac 0.849 0.423 0.148
Sm 0.205 0.850 0.289
Sm 0.278 0.135 0.719
Sm 0.349 0.423 0.147
Sm 0.494 0.001 0.001
Sm 0.924 0.721 0.578
Er 0.778 0.134 0.720

Space-group type: No. 1
Total DFT energy (no corrections), eV for the cell shown: -60.37
Energy of formation from the pure elements, eV per formula unit: 0.7

---

(10)
## Er6Tl3Cu (GGA-PBE)

Data for a relaxed structure of Er6Tl3Cu.

Cell: 6.115 8.769 12.015 Å, 90.00 118.75 90.00°
Atoms (fractional coordinates):
Er 0.056 0.163 0.436
Er 0.056 0.337 0.936
Er 0.339 0.695 0.435
Er 0.339 0.805 0.935
Er 0.405 0.061 0.267
Er 0.405 0.439 0.767
Er 0.595 0.561 0.233
Er 0.595 0.939 0.733
Er 0.661 0.195 0.065
Er 0.661 0.305 0.565
Er 0.944 0.663 0.064
Er 0.944 0.837 0.564
Tl 0.000 0.000 0.000
Tl 0.000 0.500 0.500
Tl 0.168 0.110 0.760
Tl 0.168 0.390 0.260
Tl 0.832 0.610 0.740
Tl 0.832 0.890 0.240
Cu 0.500 0.000 0.500
Cu 0.500 0.500 0.000

Space-group type: No. 14
Total DFT energy (no corrections), eV for the cell shown: -79.90
Energy of formation from the pure elements, eV per formula unit: -1.4

---

(11)
## Sr3Sn4Au4 (GGA-PBE)

Data for a relaxed structure of Sr3Sn4Au4.

Cell: 13.984 13.984 13.984 Å, 160.63 160.11 27.90°
Atoms (fractional coordinates):
Sr 0.000 0.000 0.000
Sr 0.348 0.848 0.500
Sr 0.652 0.152 0.500
Sn 0.196 0.696 0.500
Sn 0.448 0.448 0.000
Sn 0.552 0.552 0.000
Sn 0.804 0.304 0.500
Au 0.097 0.597 0.500
Au 0.251 0.251 0.000
Au 0.749 0.749 0.000
Au 0.903 0.403 0.500

Space-group type: No. 71
Total DFT energy (no corrections), eV for the cell shown: -40.99
Energy of formation from the pure elements, eV per formula unit: -6.8

---

(12)
## Li2LaBe (GGA-PBE)

Data for a relaxed structure of Li2LaBe.

Cell: 3.417 4.818 5.430 Å, 90.00 90.00 90.00°
Atoms (fractional coordinates):
Li 0.000 0.000 0.000
Li 0.500 0.500 0.000
La 0.000 0.500 0.500
Be 0.500 0.000 0.500

Space-group type: No. 47
Total DFT energy (no corrections), eV for the cell shown: -11.10
Energy of formation from the pure elements, eV per formula unit: 1.4

---

| no. | calculated volume (A^3/atom) | total moment (Bohr magnetons per cell) |
| --- | --- | --- |
| 1 | 26.7 | 0.11 |
| 2 | 13.5 | 0.00 |
| 3 | 35.1 | 0.00 |
| 4 | 14.2 | 0.00 |
| 5 | 18.8 | 0.00 |
| 6 | 26.7 | 0.00 |
| 7 | 16.5 | 0.00 |
| 8 | 6.6 | 0.69 |
| 9 | 39.7 | 0.00 |
| 10 | 28.2 | 0.00 |
| 11 | 28.0 | 0.00 |
| 12 | 22.4 | 0.00 |